# Ni3P2O8

An optimized crystal structure of Ni3P2O8 (GGA-PBEsol, Alexandria via LeMat-Bulk).

```
26
Lattice="4.654 0.000 0.000 0.000 5.754 -0.017 0.000 -0.189 10.038" Properties=species:S:1:pos:R:3 pbc="T T T"
Ni 2.269 1.266 7.754
O 3.481 4.150 3.997
O 1.173 1.415 6.023
O 3.500 4.056 9.015
O 1.429 4.269 0.491
O 1.103 2.990 3.375
Ni 2.327 2.783 5.010
O 1.154 1.510 1.005
O 1.224 2.895 8.394
P 2.684 1.420 0.943
O 3.430 2.670 1.627
P 4.298 1.325 5.962
O 0.898 4.175 5.509
Ni 2.385 4.299 2.266
O 0.940 5.422 3.259
P 1.970 4.146 9.077
P 0.357 4.240 4.058
Ni 4.596 4.204 7.285
O 3.714 0.143 6.761
O 3.551 2.576 6.645
Ni 0.000 2.877 -0.009
O 3.225 1.296 9.529
O 1.387 5.328 8.278
O 3.268 0.238 1.742
O 3.757 1.391 4.511
Ni 0.058 1.361 2.735
```

## Properties
magnetic moment = 0.454 μB/atom
symmetry = P2_1/c (14)
DFT total energy = -7.024 eV per atom